Here is crystalline CaAc2RuO8 at its relaxed geometry from the Alexandria database. Energies are from GGA-PBE.

Summary:
Total moment in Bohr magnetons per cell: 1.917
Volume in A^3/atom: 15.53
Formation energy without anion corrections in eV per atom: -2.074
Calculated total energy in eV per atom: -7.00

Lattice parameters (Å, degrees): 4.5458 5.5590 7.3941 90.03 90.02 94.06
Closest atoms and distances in Å follow each position.
Space group P-1 (No. 2)
Asymmetric unit:
Ca: 0.0000 0.0000 0.0000  2 O 2.28
Ac: 0.5004 0.4997 0.2497  2 O 2.31
Ru: 0.0000 0.0000 0.5000  6 O 1.94-1.95
O: 0.0488 0.7638 0.3115  1 Ru 1.94
O: 0.0488 0.7655 0.6896  1 Ru 1.94
O: 0.4158 0.2550 0.9997  1 Ca 2.28, 2 Ac 2.31
O: 0.4194 0.1048 0.4999  1 O 1.42